First-principles (GGA-PBE) data for an optimized crystal structure of Ta2TiH, as listed in the Alexandria database.

## Properties
**V**: 55.93 Å³/f.u.
**Total moment**: 0.00 μB/cell
**Distance to the lowest polymorph of the same formula**: 0 meV/atom
**Crystal system**: monoclinic

Lattice parameters (Å, degrees): 8.224 4.701 2.894 90.00 90.47 90.00
Space group C2 (No. 5)
Symmetry-distinct sites (fractional):
Ta: 0.170 0.000 0.156 (multiplicity 4)
Ti: 0.000 0.523 0.500 (multiplicity 2)
H: 0.000 0.264 0.000 (multiplicity 2)

First-principles (GGA-PBE) data for an optimized crystal structure of Ca2Mg2I, as listed in the Alexandria database.

## Properties
**V**: 166.86 Å³/f.u.
**Total moment**: 0.00 μB/cell
**Distance to the lowest polymorph of the same formula**: 0 meV/atom
**ΔE_f (raw)**: -262 meV per atom
**Crystal system**: tetragonal

Lattice parameters (Å, degrees): 4.167 4.167 19.215 90.00 90.00 90.00
Space group I4/mmm (No. 139)
Symmetry-distinct sites (fractional):
Ca: 0.000 0.000 0.109 (multiplicity 4)
Mg: 0.000 0.500 0.250 (multiplicity 4)
I: 0.000 0.000 0.500 (multiplicity 2)

First-principles (GGA-PBE) data for an optimized crystal structure of Cs3Pr2TmTe6, as listed in the Alexandria database.

## Properties
**V**: 501.12 Å³/f.u.
**Total moment**: 0.00 μB/cell
**ΔE_f (raw)**: -1395 meV per atom
**Crystal system**: monoclinic

Lattice parameters (Å, degrees): 8.045 13.935 9.335 90.00 106.71 90.00
Space group C2/m (No. 12)
Symmetry-distinct sites (fractional):
Cs: 0.000 0.000 0.000 (multiplicity 2)
Cs: 0.000 0.330 0.000 (multiplicity 4)
Pr: 0.000 0.166 0.500 (multiplicity 4)
Tm: 0.000 0.500 0.500 (multiplicity 2)
Te: 0.225 0.339 0.693 (multiplicity 8)
Te: 0.243 0.000 0.694 (multiplicity 4)

First-principles (GGA-PBE) data for an optimized crystal structure of TbSc2ZnPd4, as listed in the Alexandria database.

## Properties
**V**: 146.80 Å³/f.u.
**Total moment**: 0.00 μB/cell
**Total energy**: -45.7 eV per formula unit
**Crystal system**: trigonal

Lattice parameters (Å, degrees): 4.6196 4.6196 23.8291 90.00 90.00 120.00
Space group R-3m (No. 166, hexagonal axes)
Symmetry-distinct sites (fractional):
Tb: 0.0000 0.0000 0.0000 (multiplicity 3)
Sc: 0.0000 0.0000 0.2404 (multiplicity 6)
Zn: 0.0000 0.0000 0.5000 (multiplicity 3)
Pd: 0.0000 0.0000 0.1255 (multiplicity 6)
Pd: 0.0000 0.0000 0.3890 (multiplicity 6)

First-principles (GGA-PBE) data for an optimized crystal structure of TbSm6Ho2Sc3, as listed in the Alexandria database.

## Properties
**V**: 366.45 Å³/f.u.
**Total moment**: 0.00 μB/cell
**Total energy**: -60.6 eV per formula unit
**Crystal system**: monoclinic

Lattice parameters (Å, degrees): 6.119 10.593 11.487 90.00 100.19 90.00
Space group C2/m (No. 12)
Symmetry-distinct sites (fractional):
Tb: 0.000 0.000 0.000 (multiplicity 2)
Sm: 0.247 0.000 0.741 (multiplicity 4)
Sm: 0.247 0.333 0.741 (multiplicity 8)
Ho: 0.000 0.333 0.000 (multiplicity 4)
Sc: 0.000 0.167 0.500 (multiplicity 4)
Sc: 0.000 0.500 0.500 (multiplicity 2)

First-principles (GGA-PBE) data for an optimized crystal structure of ZnGa2GeN4, as listed in the Alexandria database.

## Properties
**V**: 93.75 Å³/f.u.
**Total moment**: 0.00 μB/cell
**ΔE_f (raw)**: -334 meV per atom
**Crystal system**: tetragonal

Lattice parameters (Å, degrees): 4.573 4.573 8.965 90.00 90.00 90.00
Space group I-42m (No. 121)
Symmetry-distinct sites (fractional):
Zn: 0.000 0.000 0.000 (multiplicity 2)
Ga: 0.000 0.500 0.250 (multiplicity 4)
Ge: 0.000 0.000 0.500 (multiplicity 2)
N: 0.234 0.234 0.625 (multiplicity 8)

First-principles (GGA-PBE) data for an optimized crystal structure of Y2HgSb, as listed in the Alexandria database.

## Properties
**V**: 118.67 Å³/f.u.
**Total moment**: 0.00 μB/cell
**Distance to the lowest polymorph of the same formula**: 297 meV/atom
**ΔE_f (raw)**: -490 meV per atom
**Crystal system**: tetragonal

Lattice parameters (Å, degrees): 8.107 8.107 7.222 90.00 90.00 90.00
Space group I-42d (No. 122)
Symmetry-distinct sites (fractional):
Y: 0.247 0.250 0.125 (multiplicity 8)
Hg: 0.000 0.000 0.000 (multiplicity 4)
Sb: 0.000 0.000 0.500 (multiplicity 4)

Q: Which value of total moment does entry 7 give?
A: 0.00 μB/cell

Q: Which formula does entry 7 have?
A: Y2HgSb